Entry 1:
VASP calculation (PBE) on a relaxed structure of Ac2MgMnSe6.

extended XYZ file:
```
20
Lattice="6.8409 0.0000 0.0000 0.0000 7.5157 0.0000 -6.8060 0.0000 10.0090" Properties=species:S:1:pos:R:3 pbc="T T T"
Ac -0.2433 0.7402 2.4961
Ac -3.6463 3.0176 7.5006
Ac 3.6812 4.4981 2.5084
Ac 0.2783 6.7754 7.5129
Mg 3.4205 0.0000 0.0000
Mg 0.0175 3.7578 5.0045
Mn -3.4030 0.0000 5.0045
Mn 0.0000 3.7578 0.0000
Se -5.6120 1.5144 9.5667
Se -2.2090 2.2435 4.5622
Se -4.7122 5.1175 9.5761
Se -1.3092 6.1561 4.5716
Se -2.7597 0.0433 7.4147
Se 0.6433 3.7146 2.4102
Se -0.6083 3.8011 7.5988
Se 2.7947 7.4724 2.5943
Se 1.3442 1.3596 5.4374
Se 4.7472 2.3982 0.4329
Se 2.2440 5.2722 5.4468
Se 5.6470 6.0013 0.4423
```

- ΔE_f (raw) (kJ/mol of formula units) = -1308
- total DFT energy (no corrections) (eV per formula unit) = -53.44

Entry 2:
VASP calculation (PBE) on a relaxed structure of NaCaGaHg.

extended XYZ file:
```
4
Lattice="0.0000 3.6851 3.6851 3.6851 0.0000 3.6851 3.6851 3.6851 0.0000" Properties=species:S:1:pos:R:3 pbc="T T T"
Na 0.0000 0.0000 0.0000
Ca 3.6851 3.6851 3.6851
Ga 1.8426 1.8426 1.8426
Hg 5.5277 5.5277 5.5277
```

- energy of formation (meV per atom) = -261
- total DFT energy (no corrections) (eV per formula unit) = -7.69

Entry 3:
VASP calculation (PBE) on a relaxed structure of Ca2LaBe.

extended XYZ file:
```
4
Lattice="-2.3693 2.3693 5.4215 2.3693 -2.3693 5.4215 2.3693 2.3693 -5.4215" Properties=species:S:1:pos:R:3 pbc="T T T"
Ca 2.3693 0.0000 2.7108
Ca 0.0000 2.3693 2.7108
La 0.0000 0.0000 0.0000
Be 0.0000 0.0000 5.4215
```

- energy of formation (meV per atom) = 448
- total DFT energy (no corrections) (eV per formula unit) = -10.87

Entry 4:
VASP calculation (PBE) on a relaxed structure of CrAgBr4.

extended XYZ file:
```
6
Lattice="6.5268 0.0000 0.0000 0.0000 3.7756 0.0000 -0.4017 0.0000 7.3417" Properties=species:S:1:pos:R:3 pbc="T T T"
Cr 0.0000 0.0000 0.0000
Ag -0.2009 1.8878 3.6709
Br 1.0798 0.0000 5.3049
Br 1.4226 1.8878 0.9771
Br 4.7025 1.8878 6.3646
Br 5.0452 0.0000 2.0368
```

- ΔE_f (raw) (kJ/mol of formula units) = -338
- offset from the most stable computed form (eV/atom) = 0.000
- total DFT energy (no corrections) (eV per formula unit) = -22.67

Entry 5:
VASP calculation (PBE) on a relaxed structure of NaLi2C2O6.

extended XYZ file:
```
11
Lattice="4.9645 0.0000 0.0000 2.4625 4.3808 0.0000 1.7092 0.3847 5.9532" Properties=species:S:1:pos:R:3 pbc="T T T"
Na 0.0000 0.0000 0.0000
Li 2.5645 1.4613 2.0998
Li 6.5717 3.3043 3.8534
C 4.1452 1.7607 4.4050
C 4.9910 3.0048 1.5482
O 2.8770 1.7864 4.1047
O 4.3898 4.1293 1.4285
O 4.7769 2.8664 4.5826
O 4.3593 1.8991 1.3706
O 4.7463 0.6362 4.5247
O 6.2592 2.9791 1.8485
```

- ΔE_f (raw) (kJ/mol of formula units) = -1741
- total DFT energy (no corrections) (eV per formula unit) = -71.39

Entry 6:
VASP calculation (PBE) on a relaxed structure of K2LaNdO4.

extended XYZ file:
```
8
Lattice="6.3837 0.0000 0.0000 0.0000 3.6855 0.0000 -2.1289 0.0000 6.3036" Properties=species:S:1:pos:R:3 pbc="T T T"
K 0.0000 0.0000 0.0000
K 3.1919 1.8428 0.0000
La -1.0645 1.8428 3.1518
Nd 2.1274 0.0000 3.1518
O 0.0205 0.0000 4.3542
O 1.0838 1.8428 1.9463
O 3.1710 1.8428 4.3572
O 4.2343 0.0000 1.9494
```

- ΔE_f (raw) (kJ/mol of formula units) = -2035
- total DFT energy (no corrections) (eV per formula unit) = -52.81

Entry 7:
VASP calculation (PBE) on a relaxed structure of Na3Ga2Te4.

extended XYZ file:
```
18
Lattice="8.7330 -4.1803 0.0000 8.7330 4.1803 0.0000 -0.0810 0.0000 8.1241" Properties=species:S:1:pos:R:3 pbc="T T T"
Na 8.6723 4.1409 6.0931
Na 6.7126 0.7736 2.7827
Na 6.6721 -0.7736 6.8447
Na 10.7130 0.7736 1.2794
Na 10.6725 -0.7736 5.3415
Na 8.7128 -4.1409 2.0310
Ga 3.2817 1.1968 7.9843
Ga 3.3222 -1.1968 3.9222
Ga 14.0628 1.1968 4.2020
Ga 14.1033 -1.1968 0.1399
Te 4.1581 0.8341 5.4280
Te 7.6594 1.9599 8.1059
Te 9.6851 1.9599 4.0803
Te 4.1986 -0.8341 1.3660
Te 13.1865 0.8341 6.7582
Te 7.6999 -1.9599 4.0439
Te 9.7256 -1.9599 0.0182
Te 13.2270 -0.8341 2.6961
```

- ΔE_f (raw) (kJ/mol of formula units) = -487
- offset from the most stable computed form (eV/atom) = 0.029
- total DFT energy (no corrections) (eV per formula unit) = -27.63

Entry 8:
VASP calculation (PBE) on a relaxed structure of Ca5Cu2Pb5.

extended XYZ file:
```
12
Lattice="8.3297 -2.3961 0.0000 8.3297 2.3961 0.0000 -6.5170 0.0000 8.3642" Properties=species:S:1:pos:R:3 pbc="T T T"
Ca 0.0000 0.0000 0.0000
Ca -0.6451 0.0000 3.6261
Ca -2.6329 0.0000 6.9612
Ca 12.7752 0.0000 1.4029
Ca 10.7874 0.0000 4.7381
Cu 0.7413 0.0000 6.4764
Cu 9.4010 0.0000 1.8877
Pb 2.4171 0.0000 2.1894
Pb 6.6643 0.0000 1.3112
Pb 5.0712 0.0000 4.1821
Pb 3.4780 0.0000 7.0530
Pb 7.7252 0.0000 6.1747
```

- energy of formation (meV per atom) = -369
- total DFT energy (no corrections) (eV per formula unit) = -41.17